No. 1
{"formula": "K2Cr", "functional": "GGA-PBEsol", "state": "optimized geometry", "total_energy_ev_per_cell": -9.29, "magnetic_moment_mub_per_fu": 5.2, "formation_energy_ev_per_atom": 1.074, "cell": [[-1.100, 2.791, -2.829], [-0.059, -4.016, -0.933], [-8.854, -0.545, 2.905]], "species": ["K", "K", "Cr"], "frac_coords": [[0.667, 0.333, 0.716], [0.333, 0.667, 0.284], [0.000, 0.000, 0.000]]}


No. 2
{"formula": "KCr", "functional": "GGA-PBEsol", "state": "optimized geometry", "total_energy_ev_per_cell": -16.96, "magnetic_moment_mub_per_fu": 4.7, "formation_energy_ev_per_atom": 1.449, "cell": [[3.523, 0.000, 0.000], [-1.761, 3.051, 0.000], [0.000, 0.000, 12.053]], "species": ["Cr", "Cr", "K", "K"], "frac_coords": [[0.667, 0.333, 0.912], [0.333, 0.667, 0.088], [0.333, 0.667, 0.671], [0.667, 0.333, 0.329]]}